1.
# PBE-GGA NaZr2Sb2, relaxed
data_NaZr2Sb2
_symmetry_space_group_name_H-M 'I 4/m m m'
_symmetry_Int_Tables_number 139
_symmetry_space_group_name_Hall '-I 4 2'
_cell_length_a 4.793
_cell_length_b 4.793
_cell_length_c 12.702
_cell_angle_alpha 90.00
_cell_angle_beta 90.00
_cell_angle_gamma 90.00
loop_
_atom_site_label
_atom_site_fract_x
_atom_site_fract_y
_atom_site_fract_z
_atom_site_occupancy
Na1 0.000 0.000 0.000 1
Zr1 0.000 0.000 0.385 1
Sb1 0.000 0.500 0.250 1
# V: 291.8 Å³ per cell
# Total DFT energy (no corrections): -26.01 eV/f.u.



2.
# PBE-GGA CaAlPb3, relaxed
data_CaAlPb3
_symmetry_space_group_name_H-M 'P m -3 m'
_symmetry_Int_Tables_number 221
_symmetry_space_group_name_Hall '-P 4 2 3'
_cell_length_a 5.491
_cell_length_b 5.491
_cell_length_c 5.491
_cell_angle_alpha 90.00
_cell_angle_beta 90.00
_cell_angle_gamma 90.00
loop_
_atom_site_label
_atom_site_fract_x
_atom_site_fract_y
_atom_site_fract_z
_atom_site_occupancy
Ca1 0.000 0.000 0.000 1
Al1 0.500 0.500 0.500 1
Pb1 0.000 0.500 0.500 1
# V: 165.5 Å³ per cell
# Formation energy from the elements: 13 kJ/mol of atoms



3.
# PBE-GGA Cs2SrSiTe4, relaxed
data_Cs2SrSiTe4
_symmetry_space_group_name_H-M 'C 1 2/c 1'
_symmetry_Int_Tables_number 15
_symmetry_space_group_name_Hall '-C 2yc'
_cell_length_a 12.396
_cell_length_b 13.289
_cell_length_c 9.013
_cell_angle_alpha 90.00
_cell_angle_beta 102.42
_cell_angle_gamma 90.00
loop_
_atom_site_label
_atom_site_fract_x
_atom_site_fract_y
_atom_site_fract_z
_atom_site_occupancy
Cs1 0.000 0.000 0.000 1
Cs2 0.250 0.250 0.000 1
Sr1 0.000 0.500 0.000 1
Si1 0.250 0.250 0.500 1
Te1 0.073 0.266 0.609 1
Te2 0.200 0.426 0.329 1
# V: 1450.0 Å³ per cell
# Total DFT energy (no corrections): -26.49 eV/f.u.



4.
# PBE-GGA Cs2CdIr, relaxed
data_Cs2CdIr
_symmetry_space_group_name_H-M 'F m -3 m'
_symmetry_Int_Tables_number 225
_symmetry_space_group_name_Hall '-F 4 2 3'
_cell_length_a 8.602
_cell_length_b 8.602
_cell_length_c 8.602
_cell_angle_alpha 90.00
_cell_angle_beta 90.00
_cell_angle_gamma 90.00
loop_
_atom_site_label
_atom_site_fract_x
_atom_site_fract_y
_atom_site_fract_z
_atom_site_occupancy
Cs1 0.250 0.250 0.250 1
Cd1 0.000 0.000 0.000 1
Ir1 0.000 0.000 0.500 1
# V: 636.6 Å³ per cell
# Formation energy from the elements: 80 kJ/mol of atoms



5.
# PBE-GGA SrMoAsBr2, relaxed
data_SrMoAsBr2
_symmetry_space_group_name_H-M 'P 4/m m m'
_symmetry_Int_Tables_number 123
_symmetry_space_group_name_Hall '-P 4 2'
_cell_length_a 5.292
_cell_length_b 5.292
_cell_length_c 4.976
_cell_angle_alpha 90.00
_cell_angle_beta 90.00
_cell_angle_gamma 90.00
loop_
_atom_site_label
_atom_site_fract_x
_atom_site_fract_y
_atom_site_fract_z
_atom_site_occupancy
Sr1 0.000 0.000 0.000 1
Mo1 0.500 0.500 0.500 1
As1 0.500 0.500 0.000 1
Br1 0.000 0.500 0.500 1
# V: 139.4 Å³ per cell
# Total DFT energy (no corrections): -22.71 eV/f.u.



6.
# PBE-GGA Na3Cd9Ag2, relaxed
data_Na3Cd9Ag2
_symmetry_space_group_name_H-M 'I m m m'
_symmetry_Int_Tables_number 71
_symmetry_space_group_name_Hall '-I 2 2'
_cell_length_a 4.860
_cell_length_b 10.926
_cell_length_c 12.578
_cell_angle_alpha 90.00
_cell_angle_beta 90.00
_cell_angle_gamma 90.00
loop_
_atom_site_label
_atom_site_fract_x
_atom_site_fract_y
_atom_site_fract_z
_atom_site_occupancy
Na1 0.000 0.000 0.000 1
Na2 0.000 0.000 0.284 1
Cd1 0.000 0.282 0.142 1
Cd2 0.000 0.368 0.370 1
Cd3 0.000 0.500 0.000 1
Ag1 0.000 0.144 0.500 1
# V: 668.0 Å³ per cell
# Formation energy from the elements: -7 kJ/mol of atoms



Number 1: size of the total moment 0.0 μB/f.u.. Number 2: size of the total moment 0.0 μB/f.u.. Number 3: size of the total moment 0.0 μB/f.u.. Number 4: size of the total moment 1.0 μB/f.u.. Number 5: size of the total moment 2.0 μB/f.u.. Number 6: size of the total moment 0.0 μB/f.u..